ScPa, optimized geometry, DFT PBE-GGA; theoretical density = 9.47 g cm⁻³; formation energy = 0.053 eV per atom; DFT total energy = -7.859 eV per atom; magnetic moment = 0.01 μB/f.u.
1.0
3.190 0.000 0.000
-1.595 2.763 0.000
0.000 0.000 5.490
Sc Pa
1 1
direct
0.000 0.000 0.000 Sc
0.333 0.667 0.500 Pa